#i
# GdReNO PBE-GGA optimized geometry
data_GdReNO
_chemical_formula_sum 'Gd2 Re2 N2 O2'
_symmetry_space_group_name_H-M 'P 4/n m m'
_symmetry_Int_Tables_number 129
_cell_length_a 4.8171
_cell_length_b 4.8171
_cell_length_c 4.3507
_cell_angle_alpha 90.00
_cell_angle_beta 90.00
_cell_angle_gamma 90.00
loop_
_symmetry_equiv_pos_as_xyz
'x,y,z'
'-x,-y,-z'
'-y+1/2,x,z'
'y+1/2,-x,-z'
'-x+1/2,-y+1/2,z'
'x+1/2,y+1/2,-z'
'y,-x+1/2,z'
'-y,x+1/2,-z'
'x+1/2,-y,-z'
'-x+1/2,y,z'
'-y,-x,-z'
'y,x,z'
'-x,y+1/2,-z'
'x,-y+1/2,z'
'y+1/2,x+1/2,-z'
'-y+1/2,-x+1/2,z'
loop_
_atom_site_label
_atom_site_type_symbol
_atom_site_fract_x
_atom_site_fract_y
_atom_site_fract_z
Gd1 Gd 0.2500 0.7500 0.0000
Re1 Re 0.2500 0.2500 0.4966
N1 N 0.2500 0.2500 0.9955
O1 O 0.2500 0.7500 0.5000
# Crystal system = tetragonal

***

#ii
# GdReNO PBE-GGA optimized geometry
data_GdReNO
_chemical_formula_sum 'Gd2 Re2 N2 O2'
_symmetry_space_group_name_H-M 'P m c 21'
_symmetry_Int_Tables_number 26
_symmetry_space_group_name_Hall 'P 2c -2'
_cell_length_a 3.8396
_cell_length_b 5.3498
_cell_length_c 4.9924
_cell_angle_alpha 90.00
_cell_angle_beta 90.00
_cell_angle_gamma 90.00
loop_
_atom_site_label
_atom_site_type_symbol
_atom_site_fract_x
_atom_site_fract_y
_atom_site_fract_z
Gd1 Gd 0.0000 0.2061 0.0000
Re1 Re 0.5000 0.3412 0.4993
N1 N 0.0000 0.3303 0.4991
O1 O 0.5000 0.0040 0.7550
# Crystal system = orthorhombic

***

Short version: #ii is the most stable of them.

***

#i
# GdReNO PBE-GGA optimized geometry
data_GdReNO
_chemical_formula_sum 'Gd2 Re2 N2 O2'
_symmetry_space_group_name_H-M 'P m c 21'
_symmetry_Int_Tables_number 26
_symmetry_space_group_name_Hall 'P 2c -2'
_cell_length_a 3.2620
_cell_length_b 5.6983
_cell_length_c 6.2672
_cell_angle_alpha 90.00
_cell_angle_beta 90.00
_cell_angle_gamma 90.00
loop_
_atom_site_label
_atom_site_type_symbol
_atom_site_fract_x
_atom_site_fract_y
_atom_site_fract_z
Gd1 Gd 0.0000 0.1742 0.0000
Re1 Re 0.5000 0.3300 0.4547
N1 N 0.5000 0.4229 0.1731
O1 O 0.0000 0.1836 0.6437
# Crystal system = orthorhombic

***

#ii
# GdReNO PBE-GGA optimized geometry
data_GdReNO
_chemical_formula_sum 'Gd2 Re2 N2 O2'
_symmetry_space_group_name_H-M 'P 4/n m m'
_symmetry_Int_Tables_number 129
_cell_length_a 3.8014
_cell_length_b 3.8014
_cell_length_c 7.8508
_cell_angle_alpha 90.00
_cell_angle_beta 90.00
_cell_angle_gamma 90.00
loop_
_symmetry_equiv_pos_as_xyz
'x,y,z'
'-x,-y,-z'
'-y+1/2,x,z'
'y+1/2,-x,-z'
'-x+1/2,-y+1/2,z'
'x+1/2,y+1/2,-z'
'y,-x+1/2,z'
'-y,x+1/2,-z'
'x+1/2,-y,-z'
'-x+1/2,y,z'
'-y,-x,-z'
'y,x,z'
'-x,y+1/2,-z'
'x,-y+1/2,z'
'y+1/2,x+1/2,-z'
'-y+1/2,-x+1/2,z'
loop_
_atom_site_label
_atom_site_type_symbol
_atom_site_fract_x
_atom_site_fract_y
_atom_site_fract_z
Gd1 Gd 0.2500 0.2500 0.1486
Re1 Re 0.2500 0.7500 0.5000
N1 N 0.2500 0.2500 0.6253
O1 O 0.2500 0.7500 0.0000
# Crystal system = tetragonal

***

Short version: #ii is the most stable of them.

***

#i
# GdSiNO PBE-GGA optimized geometry
data_GdSiNO
_chemical_formula_sum 'Gd2 Si2 N2 O2'
_symmetry_space_group_name_H-M 'P m c 21'
_symmetry_Int_Tables_number 26
_symmetry_space_group_name_Hall 'P 2c -2'
_cell_length_a 3.1917
_cell_length_b 6.0188
_cell_length_c 5.8048
_cell_angle_alpha 90.00
_cell_angle_beta 90.00
_cell_angle_gamma 90.00
loop_
_atom_site_label
_atom_site_type_symbol
_atom_site_fract_x
_atom_site_fract_y
_atom_site_fract_z
Gd1 Gd 0.0000 0.2171 0.0000
Si1 Si 0.5000 0.2485 0.4631
N1 N 0.0000 0.1788 0.5962
O1 O 0.5000 0.4732 0.9390
# Crystal system = orthorhombic

***

#ii
# GdSiNO PBE-GGA optimized geometry
data_GdSiNO
_chemical_formula_sum 'Gd2 Si2 N2 O2'
_symmetry_space_group_name_H-M 'P 4/n m m'
_symmetry_Int_Tables_number 129
_cell_length_a 3.9377
_cell_length_b 3.9377
_cell_length_c 7.3788
_cell_angle_alpha 90.00
_cell_angle_beta 90.00
_cell_angle_gamma 90.00
loop_
_symmetry_equiv_pos_as_xyz
'x,y,z'
'-x,-y,-z'
'-y+1/2,x,z'
'y+1/2,-x,-z'
'-x+1/2,-y+1/2,z'
'x+1/2,y+1/2,-z'
'y,-x+1/2,z'
'-y,x+1/2,-z'
'x+1/2,-y,-z'
'-x+1/2,y,z'
'-y,-x,-z'
'y,x,z'
'-x,y+1/2,-z'
'x,-y+1/2,z'
'y+1/2,x+1/2,-z'
'-y+1/2,-x+1/2,z'
loop_
_atom_site_label
_atom_site_type_symbol
_atom_site_fract_x
_atom_site_fract_y
_atom_site_fract_z
Gd1 Gd 0.2500 0.2500 0.1514
Si1 Si 0.2500 0.7500 0.5000
N1 N 0.2500 0.2500 0.5018
O1 O 0.2500 0.7500 0.0000
# Crystal system = tetragonal

***

#iii
# GdSiNO PBE-GGA optimized geometry
data_GdSiNO
_chemical_formula_sum 'Gd2 Si2 N2 O2'
_symmetry_space_group_name_H-M 'P m c 21'
_symmetry_Int_Tables_number 26
_symmetry_space_group_name_Hall 'P 2c -2'
_cell_length_a 3.7583
_cell_length_b 4.8770
_cell_length_c 5.2823
_cell_angle_alpha 90.00
_cell_angle_beta 90.00
_cell_angle_gamma 90.00
loop_
_atom_site_label
_atom_site_type_symbol
_atom_site_fract_x
_atom_site_fract_y
_atom_site_fract_z
Gd1 Gd 0.0000 0.2414 0.0000
Si1 Si 0.5000 0.2477 0.4997
N1 N 0.5000 0.0009 0.7503
O1 O 0.0000 0.2790 0.4989
# Crystal system = orthorhombic

***

Short version: #iii is the most stable of them.